1.
AlP2PdCl: relaxed, PBE-GGA.

a b c (Å): 4.6562 4.6562 5.0436
angles (deg): 90.00 90.00 90.00
With the nearest neighbours (Å) after each atom.
Fractional coordinates of all 5 atoms:
Al 0.0000 0.0000 0.0000  4 Cl 3.29, 8 P 3.43
P 0.0000 0.5000 0.5000  2 Pd 2.33
P 0.5000 0.0000 0.5000  2 Pd 2.33
Pd 0.5000 0.5000 0.5000  4 P 2.33, 2 Cl 2.52
Cl 0.5000 0.5000 0.0000  2 Pd 2.52

The total energy is -18.85 eV/cell. As for the energy above the most stable polymorph in this dataset: 5.57 kJ/mol of atoms. The total moment comes out at 0.7 μB per cell. Its mass density is 3.5 g cm⁻³. Its raw formation energy is 2.75 eV per formula unit.

***

2.
H12PdI6: relaxed, PBE-GGA.

a b c (Å): 8.0149 8.0149 8.0149
angles (deg): 104.97 104.97 104.97
With the nearest neighbours (Å) after each atom.
Fractional coordinates of all 19 atoms:
H 0.0720 0.2259 0.0943  1 Pd 1.65, 2 H 1.83
H 0.0943 0.0720 0.2259  1 Pd 1.65, 2 H 1.83
H 0.2259 0.0943 0.0720  1 Pd 1.65, 2 H 1.83
H 0.2447 0.6842 0.4790  1 I 1.68
H 0.3158 0.5210 0.7553  1 I 1.68
H 0.4790 0.2447 0.6842  1 I 1.68
H 0.5210 0.7553 0.3158  1 I 1.68
H 0.6842 0.4790 0.2447  1 I 1.68
H 0.7553 0.3158 0.5210  1 I 1.68
H 0.7741 0.9057 0.9280  1 Pd 1.65, 2 H 1.83
H 0.9057 0.9280 0.7741  1 Pd 1.65, 2 H 1.83
H 0.9280 0.7741 0.9057  1 Pd 1.65, 2 H 1.83
Pd 0.0000 0.0000 0.0000  6 H 1.65
I 0.1933 0.6656 0.2561  1 H 1.68
I 0.2561 0.1933 0.6656  1 H 1.68
I 0.3344 0.7439 0.8067  1 H 1.68
I 0.6656 0.2561 0.1933  1 H 1.68
I 0.7439 0.8067 0.3344  1 H 1.68
I 0.8067 0.3344 0.7439  1 H 1.68

The total energy is -49.00 eV/cell. The total moment comes out at 2.0 μB per cell. Its mass density is 3.2 g cm⁻³.

***

3.
LiTiIn: relaxed, PBE-GGA.

a b c (Å): 2.9677 5.1056 7.7379
angles (deg): 83.68 81.81 79.74
With the nearest neighbours (Å) after each atom.
Fractional coordinates of all 6 atoms:
Li 0.1765 0.4957 0.1678  4 In 2.87-3.03, 4 Li 2.93-3.00, 2 Ti 2.96-3.08
Li 0.8235 0.5043 0.8322  4 In 2.87-3.03, 4 Li 2.93-3.00, 2 Ti 2.96-3.08
Ti 0.1696 0.0130 0.6504  4 Ti 2.69-2.97, 3 In 2.90-3.00, 1 Li 2.96
Ti 0.8304 0.9870 0.3496  4 Ti 2.69-2.97, 3 In 2.90-3.00, 1 Li 2.96
In 0.5000 0.0000 0.0000  6 Li 2.92-3.24, 2 In 2.97, 4 Ti 3.00-3.12
In 0.5000 0.5000 0.5000  4 Li 2.87-3.03, 6 Ti 2.90-3.12, 2 In 2.97

The total energy is -25.70 eV/cell. As for the energy above the most stable polymorph in this dataset: 6.97 kJ/mol of atoms. The total moment comes out at 0.0 μB per cell. Its mass density is 5.0 g cm⁻³. The calculated formation energy is -0.101 eV/atom.

***

4.
Ce2PmSi2Ni2: relaxed, PBE-GGA.

a b c (Å): 9.4205 9.4205 9.4205
angles (deg): 25.35 25.35 25.35
With the nearest neighbours (Å) after each atom.
Fractional coordinates of all 7 atoms:
Ce 0.1373 0.1373 0.1373  3 Ce 2.88, 3 Ni 2.93, 3 Si 2.96
Ce 0.8627 0.8627 0.8627  3 Ce 2.88, 3 Ni 2.93, 3 Si 2.96
Pm 0.0000 0.0000 0.0000  6 Si 3.11, 6 Ni 3.15
Si 0.2604 0.2604 0.2604  3 Ni 2.39
Si 0.7396 0.7396 0.7396  3 Ni 2.39
Ni 0.4083 0.4083 0.4083  3 Si 2.39
Ni 0.5917 0.5917 0.5917  3 Si 2.39

The total energy is -43.62 eV/cell. The total moment comes out at 0.1 μB per cell. Its mass density is 7.4 g cm⁻³. Its raw formation energy is -4.60 eV per formula unit.

***

5.
Rb2BaAg: relaxed, PBE-GGA.

a b c (Å): 4.6244 4.6244 40.6967
angles (deg): 90.00 90.00 120.00
With the nearest neighbours (Å) after each atom.
Fractional coordinates of all 12 atoms:
Rb 0.0000 0.0000 0.1092  3 Ag 3.55
Rb 0.0000 0.0000 0.8908  3 Ag 3.55
Rb 0.3333 0.6667 0.5575  3 Ag 3.55
Rb 0.3333 0.6667 0.7758  3 Ag 3.55
Rb 0.6667 0.3333 0.2242  3 Ag 3.55
Rb 0.6667 0.3333 0.4425  3 Ag 3.55
Ba 0.0000 0.0000 0.0000  2 Rb 4.44, 6 Ba 4.62
Ba 0.3333 0.6667 0.6667  2 Rb 4.44, 6 Ba 4.62
Ba 0.6667 0.3333 0.3333  2 Rb 4.44, 6 Ba 4.62
Ag 0.0000 0.0000 0.5000  6 Rb 3.55
Ag 0.3333 0.6667 0.1667  6 Rb 3.55
Ag 0.6667 0.3333 0.8333  6 Rb 3.55

The total energy is -17.86 eV/cell. As for the energy above the most stable polymorph in this dataset: 3.67 kJ/mol of atoms. The total moment comes out at 2.3 μB per cell. Its mass density is 2.8 g cm⁻³. The calculated formation energy is 0.189 eV/atom.

***

6.
Pm5SmEr: relaxed, PBE-GGA.

a b c (Å): 5.8751 8.7370 12.0795
angles (deg): 90.00 90.00 90.00
With the nearest neighbours (Å) after each atom.
Fractional coordinates of all 14 atoms:
Pm 0.0000 0.0000 0.0000  2 Sm 2.94
Pm 0.0000 0.1769 0.5000  1 Sm 2.82, 1 Pm 3.09
Pm 0.0000 0.5000 0.2519  1 Sm 3.00, 1 Er 3.04
Pm 0.0000 0.5000 0.7481  1 Sm 3.00, 1 Er 3.04
Pm 0.0000 0.8231 0.5000  1 Sm 2.82, 1 Pm 3.09
Pm 0.5000 0.0000 0.2481  1 Sm 3.00, 1 Er 3.04
Pm 0.5000 0.0000 0.7519  1 Sm 3.00, 1 Er 3.04
Pm 0.5000 0.3231 0.0000  1 Sm 2.82, 1 Pm 3.09
Pm 0.5000 0.5000 0.5000  2 Sm 2.94
Pm 0.5000 0.6769 0.0000  1 Sm 2.82, 1 Pm 3.09
Sm 0.0000 0.5000 0.5000  6 Pm 2.82-3.00
Sm 0.5000 0.0000 0.0000  6 Pm 2.82-3.00
Er 0.0000 0.5000 0.0000  6 Pm 3.04-3.32
Er 0.5000 0.0000 0.5000  6 Pm 3.04-3.32

The total energy is -52.20 eV/cell. The total moment comes out at 0.0 μB per cell. Its mass density is 5.6 g cm⁻³. The calculated formation energy is 0.991 eV/atom.

***

7.
NaGaHgAu: relaxed, PBE-GGA.

a b c (Å): 6.9459 6.9459 6.9459
angles (deg): 90.00 90.00 90.00
With the nearest neighbours (Å) after each atom.
Fractional coordinates of all 16 atoms:
Na 0.0000 0.0000 0.0000  4 Hg 3.01, 4 Au 3.01
Na 0.0000 0.5000 0.5000  4 Hg 3.01, 4 Au 3.01
Na 0.5000 0.0000 0.5000  4 Hg 3.01, 4 Au 3.01
Na 0.5000 0.5000 0.0000  4 Hg 3.01, 4 Au 3.01
Ga 0.0000 0.0000 0.5000  4 Au 3.01, 4 Hg 3.01
Ga 0.0000 0.5000 0.0000  4 Au 3.01, 4 Hg 3.01
Ga 0.5000 0.0000 0.0000  4 Au 3.01, 4 Hg 3.01
Ga 0.5000 0.5000 0.5000  4 Au 3.01, 4 Hg 3.01
Hg 0.2500 0.2500 0.7500  4 Na 3.01, 4 Ga 3.01
Hg 0.2500 0.7500 0.2500  4 Na 3.01, 4 Ga 3.01
Hg 0.7500 0.2500 0.2500  4 Na 3.01, 4 Ga 3.01
Hg 0.7500 0.7500 0.7500  4 Na 3.01, 4 Ga 3.01
Au 0.2500 0.2500 0.2500  4 Na 3.01, 4 Ga 3.01
Au 0.2500 0.7500 0.7500  4 Na 3.01, 4 Ga 3.01
Au 0.7500 0.2500 0.7500  4 Na 3.01, 4 Ga 3.01
Au 0.7500 0.7500 0.2500  4 Na 3.01, 4 Ga 3.01

The total energy is -34.44 eV/cell. As for the energy above the most stable polymorph in this dataset: 4.55 kJ/mol of atoms. The total moment comes out at 0.0 μB per cell. Its mass density is 9.7 g cm⁻³. The calculated formation energy is -0.171 eV/atom.

***

8.
ZnRuRh: relaxed, PBE-GGA.

a b c (Å): 5.8378 5.8378 5.8378
angles (deg): 90.00 90.00 90.00
With the nearest neighbours (Å) after each atom.
Fractional coordinates of all 12 atoms:
Zn 0.0000 0.0000 0.0000  4 Rh 2.53
Zn 0.0000 0.5000 0.5000  4 Rh 2.53
Zn 0.5000 0.0000 0.5000  4 Rh 2.53
Zn 0.5000 0.5000 0.0000  4 Rh 2.53
Ru 0.0000 0.0000 0.5000  4 Rh 2.53
Ru 0.0000 0.5000 0.0000  4 Rh 2.53
Ru 0.5000 0.0000 0.0000  4 Rh 2.53
Ru 0.5000 0.5000 0.5000  4 Rh 2.53
Rh 0.2500 0.2500 0.7500  4 Ru 2.53, 4 Zn 2.53
Rh 0.2500 0.7500 0.2500  4 Ru 2.53, 4 Zn 2.53
Rh 0.7500 0.2500 0.2500  4 Ru 2.53, 4 Zn 2.53
Rh 0.7500 0.7500 0.7500  4 Ru 2.53, 4 Zn 2.53

The total energy is -67.66 eV/cell. As for the energy above the most stable polymorph in this dataset: 38.91 kJ/mol of atoms. The total moment comes out at 0.0 μB per cell. Its mass density is 9.0 g cm⁻³. The calculated formation energy is 0.329 eV/atom.

***

9.
BaTcBi2: relaxed, PBE-GGA.

a b c (Å): 7.5658 7.5658 7.5658
angles (deg): 90.00 90.00 90.00
With the nearest neighbours (Å) after each atom.
Fractional coordinates of all 16 atoms:
Ba 0.0000 0.0000 0.0000  8 Bi 3.28
Ba 0.0000 0.5000 0.5000  8 Bi 3.28
Ba 0.5000 0.0000 0.5000  8 Bi 3.28
Ba 0.5000 0.5000 0.0000  8 Bi 3.28
Tc 0.0000 0.0000 0.5000  8 Bi 3.28
Tc 0.0000 0.5000 0.0000  8 Bi 3.28
Tc 0.5000 0.0000 0.0000  8 Bi 3.28
Tc 0.5000 0.5000 0.5000  8 Bi 3.28
Bi 0.2500 0.2500 0.2500  4 Ba 3.28, 4 Tc 3.28
Bi 0.2500 0.2500 0.7500  4 Ba 3.28, 4 Tc 3.28
Bi 0.2500 0.7500 0.2500  4 Ba 3.28, 4 Tc 3.28
Bi 0.2500 0.7500 0.7500  4 Ba 3.28, 4 Tc 3.28
Bi 0.7500 0.2500 0.2500  4 Ba 3.28, 4 Tc 3.28
Bi 0.7500 0.2500 0.7500  4 Ba 3.28, 4 Tc 3.28
Bi 0.7500 0.7500 0.2500  4 Ba 3.28, 4 Tc 3.28
Bi 0.7500 0.7500 0.7500  4 Ba 3.28, 4 Tc 3.28

The total energy is -75.02 eV/cell. As for the energy above the most stable polymorph in this dataset: 3.88 kJ/mol of atoms. The total moment comes out at 0.0 μB per cell. Its mass density is 10.0 g cm⁻³. The calculated formation energy is 0.324 eV/atom.

***

10.
Mn2TlFeNi: relaxed, PBE-GGA.

a b c (Å): 4.5385 4.5385 4.8153
angles (deg): 90.00 90.00 90.00
With the nearest neighbours (Å) after each atom.
Fractional coordinates of all 5 atoms:
Mn 0.0000 0.5000 0.0000  2 Ni 2.27
Mn 0.5000 0.0000 0.0000  2 Ni 2.27
Tl 0.0000 0.0000 0.5000  2 Ni 2.41
Fe 0.5000 0.5000 0.5000  4 Tl 3.21, 8 Mn 3.31
Ni 0.0000 0.0000 0.0000  4 Mn 2.27, 2 Tl 2.41

The total energy is -29.77 eV/cell. The total moment comes out at 11.6 μB per cell. Its mass density is 7.2 g cm⁻³. The calculated formation energy is 1.037 eV/atom.

***

11.
KW2: relaxed, PBE-GGA.

a b c (Å): 3.2683 3.2683 14.3258
angles (deg): 90.00 90.00 90.00
With the nearest neighbours (Å) after each atom.
Fractional coordinates of all 6 atoms:
K 0.0000 0.0000 0.0000  4 K 3.27
K 0.5000 0.5000 0.5000  4 K 3.27
W 0.0000 0.0000 0.2892  4 W 2.57
W 0.0000 0.0000 0.7108  4 W 2.57
W 0.5000 0.5000 0.2108  4 W 2.57
W 0.5000 0.5000 0.7892  4 W 2.57

The total energy is -47.07 eV/cell. As for the energy above the most stable polymorph in this dataset: 16.01 kJ/mol of atoms. The total moment comes out at 0.0 μB per cell. Its mass density is 8.8 g cm⁻³. The calculated formation energy is 1.156 eV/atom.

***

12.
CaGd2Ho: relaxed, PBE-GGA.

a b c (Å): 3.6189 3.6189 10.3856
angles (deg): 90.00 90.00 90.00
With the nearest neighbours (Å) after each atom.
Fractional coordinates of all 4 atoms:
Ca 0.0000 0.0000 0.0000  4 Ca 3.62, 8 Gd 3.79
Gd 0.5000 0.5000 0.2696  4 Ho 3.50, 4 Gd 3.62, 4 Ca 3.79
Gd 0.5000 0.5000 0.7304  4 Ho 3.50, 4 Gd 3.62, 4 Ca 3.79
Ho 0.0000 0.0000 0.5000  8 Gd 3.50, 4 Ho 3.62

The total energy is -34.52 eV/cell. As for the energy above the most stable polymorph in this dataset: 0.00 kJ/mol of atoms. The total moment comes out at 15.4 μB per cell. Its mass density is 6.3 g cm⁻³. The calculated formation energy is 0.056 eV/atom.